# 1
Material: K2NaHoI6
Method: DFT, PBE-GGA
State: optimized geometry

Geometry as POSCAR:
```
K2NaHoI6
1.0
4.250 2.454 7.149
-4.250 2.454 7.149
0.000 -4.908 7.149
K Na Ho I
2 1 1 6
Cartesian
0.000 0.000 0.000
0.000 0.000 10.580
0.000 0.000 4.511
0.000 0.000 15.132
-1.789 -2.942 9.681
-2.417 0.416 13.333
-1.653 3.021 9.681
0.848 -2.301 13.333
3.443 -0.079 9.681
1.569 1.885 13.333
```

Summary:
Total energy in eV/atom: -3.13
DOS at the Fermi energy in states/eV/f.u.: 0.00
Crystal system: trigonal
Energy relative to the elements, uncorrected in eV/atom: -1.395
V in Å³/cell: 447.3
Mass density in g cm⁻³: 3.81
Size of the total moment in μB/cell: 0.00

=====

# 2
Material: SnGe2TeSe2
Method: DFT, PBE-GGA
State: optimized geometry

Geometry as POSCAR:
```
SnGe2TeSe2
1.0
8.872 -3.142 0.000
8.872 3.142 0.000
0.000 0.000 6.212
Sn Ge Te Se
2 4 2 4
Cartesian
8.872 1.598 3.106
8.872 -1.598 0.000
5.887 1.875 5.921
11.857 1.875 5.921
5.887 -1.875 2.815
11.857 -1.875 2.815
8.872 1.548 0.059
8.872 -1.548 3.165
5.873 1.877 3.303
11.871 1.877 3.303
5.873 -1.877 0.197
11.871 -1.877 0.197
```

Summary:
Total energy in eV/atom: -4.11
Crystal system: orthorhombic
Energy relative to the elements, uncorrected in eV/atom: -0.217
V in Å³/cell: 346.4
Mass density in g cm⁻³: 5.27
Size of the total moment in μB/cell: 0.00

=====

# 3
Material: Pr8Er5Tm
Method: DFT, PBE-GGA
State: optimized geometry

Geometry as POSCAR:
```
Pr8Er5Tm
1.0
-4.877 4.877 5.149
4.877 -4.877 5.149
4.877 4.877 -5.149
Pr Er Tm
8 5 1
Cartesian
4.217 1.671 -0.950
1.744 -0.873 2.605
3.133 5.750 -2.544
3.206 -0.660 6.099
4.004 3.133 2.544
1.671 5.537 0.950
0.660 3.206 4.199
0.873 1.744 7.693
7.776 1.048 -0.762
1.048 1.978 0.762
0.000 0.000 5.149
-2.899 3.829 4.387
3.829 2.899 5.911
4.877 0.000 2.575
```

Summary:
Total energy in eV/atom: -4.43
DOS at the Fermi energy in states/eV/f.u.: 20.79
Crystal system: tetragonal
ΔH_f (0 K) in meV/atom: 255
V in Å³/cell: 489.9
Mass density in g cm⁻³: 7.23
Size of the total moment in μB/cell: 0.00

=====

# 4
Material: K2HgSI
Method: DFT, PBE-GGA
State: optimized geometry

Geometry as POSCAR:
```
K2HgSI
1.0
6.191 0.000 0.000
0.000 6.191 0.000
0.000 0.000 5.171
K Hg S I
2 1 1 1
Cartesian
0.000 3.095 0.000
3.095 0.000 0.000
0.000 0.000 2.586
0.000 0.000 0.000
3.095 3.095 2.586
```

Summary:
Total energy in eV/atom: -2.56
DOS at the Fermi energy in states/eV/f.u.: 1.21
Crystal system: tetragonal
Energy relative to the elements, uncorrected in eV/atom: -0.928
V in Å³/cell: 198.2
Mass density in g cm⁻³: 3.67
Size of the total moment in μB/cell: 0.00

=====

# 5
Material: HoErMg5
Method: DFT, PBE-GGA
State: optimized geometry

Geometry as POSCAR:
```
HoErMg5
1.0
6.350 0.000 0.000
0.000 9.722 0.000
-2.241 0.000 6.109
Ho Er Mg
2 2 10
Cartesian
0.000 0.000 0.000
3.175 4.861 0.000
-1.120 4.861 3.055
2.055 0.000 3.055
-1.120 0.000 3.055
0.799 2.788 1.380
0.799 6.934 1.380
0.136 2.073 4.729
0.136 7.649 4.729
2.055 4.861 3.055
3.974 2.073 1.380
3.974 7.649 1.380
3.311 2.788 4.729
3.311 6.934 4.729
```

Summary:
Total energy in eV/atom: -2.33
DOS at the Fermi energy in states/eV/f.u.: 4.52
Crystal system: monoclinic
ΔH_f (0 K) in meV/atom: 111
V in Å³/cell: 377.2
Mass density in g cm⁻³: 4.00
Size of the total moment in μB/cell: 0.00

=====

# 6
Material: TcRhW2
Method: DFT, PBE-GGA
State: optimized geometry

Geometry as POSCAR:
```
TcRhW2
1.0
2.713 0.000 0.000
0.000 4.470 0.000
-0.639 0.000 5.092
Tc Rh W
1 1 2
Cartesian
0.000 0.000 0.000
0.668 2.235 3.841
0.854 0.000 2.558
1.930 2.235 1.282
```

Summary:
Total energy in eV/atom: -10.83
DOS at the Fermi energy in states/eV/f.u.: 3.16
Crystal system: monoclinic
ΔH_f (0 K) in meV/atom: 73
V in Å³/cell: 61.8
Mass density in g cm⁻³: 15.29
Size of the total moment in μB/cell: 0.00

=====

What is the formula in the second record?
SnGe2TeSe2